Density functional theory data (PBE) for crystalline Mn2TlPdCl8 at its relaxed geometry.

Unit cell a=6.4428 b=6.4428 c=9.0507 alpha=90.00 beta=90.00 gamma=120.00
Last column: nearest neighbours and their distance in Å.
Element x y z (fractional)
Cl 0.3333 0.6667 0.9779  1 Mn 2.25
Cl 0.6667 0.3333 0.0221  1 Mn 2.25
Cl 0.0018 0.6934 0.3365  1 Mn 2.32, 1 Pd 2.47
Cl 0.6916 0.9982 0.3365  1 Mn 2.32, 1 Pd 2.47
Cl 0.3066 0.3084 0.3365  1 Mn 2.32, 1 Pd 2.47
Cl 0.9982 0.3066 0.6635  1 Mn 2.32, 1 Pd 2.47
Cl 0.3084 0.0018 0.6635  1 Mn 2.32, 1 Pd 2.47
Cl 0.6934 0.6916 0.6635  1 Mn 2.32, 1 Pd 2.47
Pd 0.0000 0.0000 0.5000  6 Cl 2.47
Mn 0.3333 0.6667 0.7298  4 Cl 2.25-2.32
Mn 0.6667 0.3333 0.2702  4 Cl 2.25-2.32
Tl 0.0000 0.0000 0.0000  12 Cl 3.63-3.73

Computed properties:
Space group: No. 147
Density of states at the Fermi level: 12.807 states/eV/cell
Crystal system: trigonal
Total magnetic moment: 0.731 μB per atom
ρ: 3.6 Mg/m³
Formation energy without anion corrections: -0.8132 eV per atom
E_tot: -50.43 eV for the cell shown

***

Density functional theory data (PBE) for crystalline AsH3Pd7 at its relaxed geometry.

Unit cell a=4.8679 b=5.3352 c=5.3352 alpha=92.27 beta=98.03 gamma=98.03
Last column: nearest neighbours and their distance in Å.
Element x y z (fractional)
As 0.5000 0.5000 0.5000  8 Pd 2.43-2.73
Pd 0.7337 0.3456 0.9516  2 H 1.87-2.07
Pd 0.7337 0.9516 0.3456  2 H 1.87-2.07
Pd 0.2663 0.6544 0.0484  2 H 1.87-2.07
Pd 0.7625 0.8393 0.8393  3 H 1.91-2.01
Pd 0.2663 0.0484 0.6544  2 H 1.87-2.07
Pd 0.0000 0.5000 0.5000  2 As 2.43, 2 H 2.49
Pd 0.2375 0.1607 0.1607  3 H 1.91-2.01
H 0.5000 0.0000 0.0000  6 Pd 1.91-2.07
H 0.0000 0.8232 0.1768  4 Pd 1.87-2.01
H 0.0000 0.1768 0.8232  4 Pd 1.87-2.01

Computed properties:
Space group: No. 12
Density of states at the Fermi level: 4.397 states/eV/cell
Crystal system: monoclinic
Total magnetic moment: 0.000 μB per atom
ρ: 10.1 Mg/m³
E_tot: -52.12 eV for the cell shown

***

Density functional theory data (PBE) for crystalline Al2CrSiHg at its relaxed geometry.

Unit cell a=4.7145 b=4.3793 c=4.7145 alpha=90.00 beta=90.00 gamma=90.00
Last column: nearest neighbours and their distance in Å.
Element x y z (fractional)
Cr 0.0000 0.5000 0.0000  2 Si 2.19
Al 0.0000 0.0000 0.5000  2 Si 2.36
Al 0.5000 0.0000 0.0000  2 Si 2.36
Hg 0.5000 0.5000 0.5000  8 Al 3.22, 4 Cr 3.33
Si 0.0000 0.0000 0.0000  2 Cr 2.19, 4 Al 2.36

Computed properties:
Space group: No. 123
Density of states at the Fermi level: 4.746 states/eV/cell
Crystal system: tetragonal
Total magnetic moment: 0.000 μB per atom
ρ: 5.7 Mg/m³
Formation energy without anion corrections: 0.7531 eV per atom
E_tot: -19.07 eV for the cell shown

***

Density functional theory data (PBE) for crystalline K2GeP at its relaxed geometry.

Unit cell a=12.4431 b=12.4431 c=9.1140 alpha=46.95 beta=46.95 gamma=90.00
Last column: nearest neighbours and their distance in Å.
Element x y z (fractional)
K 0.8750 0.6611 0.7500  2 P 3.20
K 0.4111 0.1250 0.2500  2 P 3.20
K 0.3750 0.5889 0.7500  2 P 3.20
K 0.3389 0.6250 0.2500  2 P 3.20
P 0.2500 0.7500 0.5000  2 Ge 2.38
P 0.5000 0.5000 0.0000  2 Ge 2.38
Ge 0.0000 0.0000 0.0000  2 P 2.38
Ge 0.7500 0.2500 0.5000  2 P 2.38

Computed properties:
Space group: No. 122
Excess energy over the best structure of this formula in the dataset: 0 meV per atom
Density of states at the Fermi level: 4.321 states/eV/cell
Crystal system: tetragonal
E_form: -0.009 eV/atom
Total magnetic moment: 0.000 μB per atom
ρ: 1.6 Mg/m³
E_tot: -24.52 eV for the cell shown

***

Density functional theory data (PBE) for crystalline YTaNi6 at its relaxed geometry.

Unit cell a=6.5168 b=6.5168 c=10.6869 alpha=90.00 beta=90.00 gamma=109.54
Last column: nearest neighbours and their distance in Å.
Element x y z (fractional)
Ni 0.8836 0.6385 0.8833  1 Ta 2.55, 8 Ni 2.60-2.85, 3 Y 2.68-2.76
Ni 0.1164 0.3615 0.8833  1 Ta 2.55, 8 Ni 2.60-2.85, 3 Y 2.68-2.76
Ni 0.7570 0.2430 0.4886  8 Ni 2.54-2.79, 2 Ta 2.55-2.59, 2 Y 2.74-2.80
Ni 0.0000 0.0000 0.7500  8 Ni 2.64, 2 Ta 2.67, 2 Y 2.70
Ni 0.3689 0.1132 0.3677  8 Ni 2.51-2.72, 3 Ta 2.58-2.67, 1 Y 2.75
Ni 0.3615 0.1164 0.6167  1 Ta 2.55, 8 Ni 2.60-2.85, 3 Y 2.68-2.76
Ni 0.5000 0.5000 0.2500  2 Ta 2.63, 2 Y 2.65, 8 Ni 2.69
Ni 0.8868 0.6311 0.3677  8 Ni 2.51-2.72, 3 Ta 2.58-2.67, 1 Y 2.75
Ni 0.2430 0.7570 0.4886  8 Ni 2.54-2.79, 2 Ta 2.55-2.59, 2 Y 2.74-2.80
Ni 0.6311 0.8868 0.1323  8 Ni 2.51-2.72, 3 Ta 2.58-2.67, 1 Y 2.75
Ni 0.2430 0.7570 0.0114  8 Ni 2.54-2.79, 2 Ta 2.55-2.59, 2 Y 2.74-2.80
Ni 0.8836 0.6385 0.6167  1 Ta 2.55, 8 Ni 2.60-2.85, 3 Y 2.68-2.76
Ni 0.6385 0.8836 0.8833  1 Ta 2.55, 8 Ni 2.60-2.85, 3 Y 2.68-2.76
Ni 0.0000 0.0000 0.2500  8 Ni 2.59, 4 Ta 2.67-2.69
Ni 0.5000 0.5000 0.7500  4 Y 2.62-2.70, 8 Ni 2.75
Ni 0.7570 0.2430 0.0114  8 Ni 2.54-2.79, 2 Ta 2.55-2.59, 2 Y 2.74-2.80
Ni 0.6311 0.8868 0.3677  8 Ni 2.51-2.72, 3 Ta 2.58-2.67, 1 Y 2.75
Ni 0.1164 0.3615 0.6167  1 Ta 2.55, 8 Ni 2.60-2.85, 3 Y 2.68-2.76
Ni 0.8868 0.6311 0.1323  8 Ni 2.51-2.72, 3 Ta 2.58-2.67, 1 Y 2.75
Ni 0.1132 0.3689 0.3677  8 Ni 2.51-2.72, 3 Ta 2.58-2.67, 1 Y 2.75
Ni 0.3689 0.1132 0.1323  8 Ni 2.51-2.72, 3 Ta 2.58-2.67, 1 Y 2.75
Ni 0.1132 0.3689 0.1323  8 Ni 2.51-2.72, 3 Ta 2.58-2.67, 1 Y 2.75
Ni 0.6385 0.8836 0.6167  1 Ta 2.55, 8 Ni 2.60-2.85, 3 Y 2.68-2.76
Ni 0.3615 0.1164 0.8833  1 Ta 2.55, 8 Ni 2.60-2.85, 3 Y 2.68-2.76
Ta 0.0000 0.0000 0.5000  12 Ni 2.55-2.67
Ta 0.7469 0.2531 0.2500  12 Ni 2.55-2.69
Ta 0.2531 0.7469 0.2500  12 Ni 2.55-2.69
Ta 0.0000 0.0000 0.0000  12 Ni 2.55-2.67
Y 0.7463 0.2537 0.7500  12 Ni 2.62-2.80
Y 0.5000 0.5000 0.0024  12 Ni 2.65-2.75
Y 0.5000 0.5000 0.4976  12 Ni 2.65-2.75
Y 0.2537 0.7463 0.7500  12 Ni 2.62-2.80

Computed properties:
Space group: No. 65
Density of states at the Fermi level: 8.682 states/eV/cell
Crystal system: orthorhombic
E_form: -0.287 eV/atom
Total magnetic moment: 0.000 μB per atom
ρ: 9.7 Mg/m³
E_tot: -221.21 eV for the cell shown

***

Density functional theory data (PBE) for crystalline MnNbCoHSe at its relaxed geometry.

Unit cell a=2.8734 b=3.3661 c=13.9596 alpha=90.00 beta=100.14 gamma=90.00
Last column: nearest neighbours and their distance in Å.
Element x y z (fractional)
Mn 0.3831 0.0000 0.5082  2 H 1.91
Mn 0.3831 0.5000 0.0082  2 H 1.91
Co 0.8001 0.0000 0.9116  2 H 1.68
Co 0.8001 0.5000 0.4116  2 H 1.68
H 0.8050 0.5000 0.9171  2 Co 1.68
H 0.8050 0.0000 0.4171  2 Co 1.68
Se 0.1871 0.0000 0.7753  2 Co 2.35-2.37, 2 Nb 2.63
Se 0.1871 0.5000 0.2753  2 Co 2.35-2.37, 2 Nb 2.63
Nb 0.9959 0.0000 0.1288  2 Se 2.63, 4 Mn 2.75-2.78, 2 Nb 2.87
Nb 0.9959 0.5000 0.6288  2 Se 2.63, 4 Mn 2.75-2.78, 2 Nb 2.87

Computed properties:
Space group: No. 8
Excess energy over the best structure of this formula in the dataset: 79 meV per atom
Density of states at the Fermi level: 5.769 states/eV/cell
Crystal system: monoclinic
Total magnetic moment: 0.755 μB per atom
ρ: 7.2 Mg/m³
E_tot: -66.85 eV for the cell shown